DFT (PBE) results for Co4B2W after structural relaxation.

The mass density comes out at 10786 kg/m3. Its symmetry is Cmmm (65). As for the energy of formation: -123 meV per atom.

Unit cell a=3.346 b=12.155 c=3.340 alpha=90.00 beta=90.00 gamma=90.00
Fractional positions:
Co: 0.000 0.175 0.000
Co: 0.000 0.325 0.500
Co: 0.000 0.675 0.500
Co: 0.000 0.825 0.000
Co: 0.500 0.175 0.500
Co: 0.500 0.325 0.000
Co: 0.500 0.675 0.000
Co: 0.500 0.825 0.500
B: 0.000 0.073 0.500
B: 0.000 0.927 0.500
B: 0.500 0.427 0.500
B: 0.500 0.573 0.500
W: 0.000 0.500 0.000
W: 0.500 0.000 0.000